Below is a geometry-optimized Sc2Si structure, with properties calculated at the PBE-GGA level.

Properties
SG = No. 194

Unit cell a=5.5488 b=5.5488 c=9.0880 alpha=90.00 beta=90.00 gamma=120.00
Closest atoms and distances in Å follow each position.
Sites, in units of the cell vectors:
Sc  0.8274  0.1726  0.2500  6 Sc 2.68-2.87
Sc  0.0000  0.0000  0.0000  6 Sc 2.81
Sc  0.0000  0.0000  0.5000  6 Sc 2.81
Sc  0.6547  0.8274  0.7500  6 Sc 2.68-2.87
Sc  0.8274  0.6547  0.2500  6 Sc 2.68-2.87
Sc  0.1726  0.3453  0.7500  6 Sc 2.68-2.87
Sc  0.1726  0.8274  0.7500  6 Sc 2.68-2.87
Sc  0.3453  0.1726  0.2500  6 Sc 2.68-2.87
Si  0.3333  0.6667  0.0636  12 Sc 3.24-3.26, 4 Si 3.39-3.41
Si  0.3333  0.6667  0.4364  12 Sc 3.24-3.26, 4 Si 3.39-3.41
Si  0.6667  0.3333  0.5636  12 Sc 3.24-3.26, 4 Si 3.39-3.41
Si  0.6667  0.3333  0.9364  12 Sc 3.24-3.26, 4 Si 3.39-3.41

Below is a geometry-optimized ScSi2 structure, with properties calculated at the PBE-GGA level.

Properties
SG = No. 12

Unit cell a=5.2243 b=5.2243 c=5.8212 alpha=76.08 beta=76.08 gamma=42.86
Closest atoms and distances in Å follow each position.
Sites, in units of the cell vectors:
Si  0.0841  0.0841  0.5146  3 Si 2.35-2.41
Si  0.3048  0.3048  0.2076  3 Si 2.35-2.41
Si  0.7484  0.7484  0.0154  3 Si 2.30-2.35
Si  0.6405  0.6405  0.7068  3 Si 2.30-2.35
Sc  0.0233  0.0233  0.0739  9 Si 2.78-3.03
Sc  0.3656  0.3656  0.6484  9 Si 2.78-3.03

Below is a geometry-optimized ScSi3 structure, with properties calculated at the PBE-GGA level.

Properties
SG = No. 166

Unit cell a=5.0642 b=5.0642 c=5.0642 alpha=115.94 beta=115.94 gamma=115.94
Closest atoms and distances in Å follow each position.
Sites, in units of the cell vectors:
Si  0.5000  0.0000  0.5000  4 Si 2.69, 2 Sc 2.69
Si  0.0000  0.5000  0.5000  4 Si 2.69, 2 Sc 2.69
Si  0.5000  0.5000  0.0000  2 Sc 2.69, 4 Si 2.69
Sc  0.0000  0.0000  0.0000  6 Si 2.69

Below is a geometry-optimized ScSi structure, with properties calculated at the PBE-GGA level.

Properties
SG = No. 194

Unit cell a=4.1797 b=4.1797 c=5.3266 alpha=90.00 beta=90.00 gamma=120.00
Closest atoms and distances in Å follow each position.
Sites, in units of the cell vectors:
Si  0.0000  0.0000  0.5000  2 Si 2.66, 6 Sc 2.76
Si  0.0000  0.0000  0.0000  2 Si 2.66, 6 Sc 2.76
Sc  0.6667  0.3333  0.2500  6 Si 2.76
Sc  0.3333  0.6667  0.7500  6 Si 2.76

Below is a geometry-optimized ScSi3 structure, with properties calculated at the PBE-GGA level.

Properties
SG = No. 123

Unit cell a=2.8445 b=2.8445 c=7.8312 alpha=90.00 beta=90.00 gamma=90.00
Closest atoms and distances in Å follow each position.
Sites, in units of the cell vectors:
Si  0.0000  0.0000  0.5000  12 Si 2.76-2.84
Si  0.5000  0.5000  0.7406  8 Si 2.76-2.84, 4 Sc 2.86
Si  0.5000  0.5000  0.2594  8 Si 2.76-2.84, 4 Sc 2.86
Sc  0.0000  0.0000  0.0000  4 Sc 2.84, 8 Si 2.86

Below is a geometry-optimized ScSi structure, with properties calculated at the PBE-GGA level.

Properties
SG = No. 198

Unit cell a=5.3219 b=5.3219 c=5.3219 alpha=90.00 beta=90.00 gamma=90.00
Closest atoms and distances in Å follow each position.
Sites, in units of the cell vectors:
Sc  0.4030  0.4030  0.4030  7 Si 2.81-2.88
Sc  0.5970  0.9030  0.0970  7 Si 2.81-2.88
Sc  0.9030  0.0970  0.5970  7 Si 2.81-2.88
Sc  0.0970  0.5970  0.9030  7 Si 2.81-2.88
Si  0.0910  0.0910  0.0910  7 Sc 2.81-2.88
Si  0.5910  0.4090  0.9090  7 Sc 2.81-2.88
Si  0.4090  0.9090  0.5910  7 Sc 2.81-2.88
Si  0.9090  0.5910  0.4090  7 Sc 2.81-2.88

Below is a geometry-optimized ScSi structure, with properties calculated at the PBE-GGA level.

Properties
SG = No. 65

Unit cell a=7.6426 b=6.1718 c=2.9370 alpha=90.00 beta=90.00 gamma=90.00
Closest atoms and distances in Å follow each position.
Sites, in units of the cell vectors:
Sc  0.2863  0.0000  0.0000  8 Si 2.88-2.91, 4 Sc 2.94-3.14
Sc  0.7863  0.5000  0.0000  8 Si 2.88-2.91, 4 Sc 2.94-3.14
Sc  0.2137  0.5000  0.0000  8 Si 2.88-2.91, 4 Sc 2.94-3.14
Sc  0.7137  0.0000  0.0000  8 Si 2.88-2.91, 4 Sc 2.94-3.14
Si  0.5000  0.6991  0.5000  1 Si 2.46
Si  0.5000  0.3009  0.5000  1 Si 2.46
Si  0.0000  0.8009  0.5000  1 Si 2.46
Si  0.0000  0.1991  0.5000  1 Si 2.46

Below is a geometry-optimized Sc5Si3 structure, with properties calculated at the PBE-GGA level.

Properties
SG = No. 140

Unit cell a=7.9990 b=7.9990 c=8.0013 alpha=96.59 beta=96.59 gamma=140.40
Closest atoms and distances in Å follow each position.
Sites, in units of the cell vectors:
Sc  0.4176  0.7151  0.1330  6 Si 2.80-3.13, 1 Sc 3.05
Sc  0.2494  0.7498  0.5000  2 Sc 2.71, 4 Si 2.76
Sc  0.7846  0.0821  0.8670  6 Si 2.80-3.13, 1 Sc 3.05
Sc  0.2845  0.4180  0.7028  6 Si 2.80-3.13, 1 Sc 3.05
Sc  0.7496  0.2500  0.5000  2 Sc 2.71, 4 Si 2.76
Sc  0.5817  0.2850  0.8670  6 Si 2.80-3.13, 1 Sc 3.05
Sc  0.9175  0.7850  0.7028  6 Si 2.80-3.13, 1 Sc 3.05
Sc  0.2147  0.9180  0.1330  6 Si 2.80-3.13, 1 Sc 3.05
Sc  0.7147  0.5822  0.2972  6 Si 2.80-3.13, 1 Sc 3.05
Sc  0.0818  0.2152  0.2972  6 Si 2.80-3.13, 1 Sc 3.05
Si  0.3400  0.1595  0.5000  6 Sc 2.76-2.90
Si  0.2497  0.2501  0.0000  2 Si 2.71, 8 Sc 2.80
Si  0.6591  0.8404  0.5000  6 Sc 2.76-2.90
Si  0.8397  0.3402  0.1808  6 Sc 2.76-2.90
Si  0.7497  0.7501  0.0000  2 Si 2.71, 8 Sc 2.80
Si  0.1591  0.6595  0.8192  6 Sc 2.76-2.90

Number 1: ΔE_f (raw) 26.84 kJ per mole of atoms, electronic total energy -5.7506 eV/atom. Number 2: ΔE_f (raw) -45.55 kJ per mole of atoms, electronic total energy -6.1979 eV/atom. Number 3: ΔE_f (raw) 2.02 kJ per mole of atoms, electronic total energy -5.6293 eV/atom. Number 4: ΔE_f (raw) -61.87 kJ per mole of atoms, electronic total energy -6.5185 eV/atom. Number 5: ΔE_f (raw) 8.32 kJ per mole of atoms, electronic total energy -5.5639 eV/atom. Number 6: ΔE_f (raw) -36.49 kJ per mole of atoms, electronic total energy -6.2555 eV/atom. Number 7: ΔE_f (raw) -56.79 kJ per mole of atoms, electronic total energy -6.4659 eV/atom. Number 8: ΔE_f (raw) -68.83 kJ per mole of atoms, electronic total energy -6.7042 eV/atom.